Compound: K7Hg4Au
Source: Alexandria
Functional: GGA-PBE
Structure: relaxed

Cell lengths 9.4139, 9.4139, 9.8545 Å; angles 104.09, 104.09, 40.38 degrees
Closest atoms and distances in Å follow each position.
Element x y z (fractional)
K  0.0000  0.0000  0.0000  2 Au 3.25, 2 Hg 3.46
K  0.1900  0.1900  0.6411  5 Hg 3.60-3.90, 1 K 4.02
K  0.3360  0.3360  0.0834  1 Au 3.21
K  0.4192  0.4192  0.6542  1 Au 3.34, 2 Hg 3.47
K  0.5808  0.5808  0.3458  1 Au 3.34, 2 Hg 3.47
K  0.6640  0.6640  0.9166  1 Au 3.21
K  0.8100  0.8100  0.3589  5 Hg 3.60-3.90, 1 K 4.02
Hg  0.0144  0.0144  0.3570  2 Hg 2.99-3.32
Hg  0.1846  0.1846  0.2731  1 Hg 3.32, 3 K 3.60-3.65
Hg  0.8154  0.8154  0.7269  1 Hg 3.32, 3 K 3.60-3.65
Hg  0.9856  0.9856  0.6430  2 Hg 2.99-3.32
Au  0.5000  0.5000  0.0000  6 K 3.21-3.34

Output
Its density of states at the Fermi level is 0.4897 states/eV per atom. For the total energy, the calculation gives -1.191 eV per atom. Its symmetry is C2/m (12).